(1)
GdYO2 (meta-GGA SCAN, PBEsol geometry); magnetization = 1.82 μB per atom; uncorrected energy = -27.911 eV/atom; formation energy (no corrections) = -12.52 eV per formula unit
1.0
3.5639 0.0000 0.0000
-1.7819 3.0864 0.0000
0.0000 0.0000 12.9448
Gd Y O
2 2 4
Cartesian
0.0000 2.0576 3.2362
1.7819 1.0288 9.7086
0.0000 0.0000 6.4724
0.0000 0.0000 0.0000
0.0000 2.0576 5.4401
0.0000 2.0576 1.0323
1.7819 1.0288 7.5047
1.7819 1.0288 11.9125

=====

(2)
Dy3Ga5O12 (meta-GGA SCAN, PBEsol geometry); magnetization = 0.00 μB per atom; uncorrected energy = -17.821 eV/atom; formation energy (no corrections) = -56.52 eV per formula unit
1.0
10.6097 0.0000 0.0000
-3.5366 10.0030 0.0000
-3.5366 -5.0015 8.6628
Dy Ga O
12 20 48
Cartesian
-0.8841 -3.1259 7.5800
4.4207 0.6252 5.4143
0.8841 -0.6252 5.4143
-4.4207 3.1259 7.5800
-2.6524 0.0000 6.4971
2.6524 0.0000 2.1657
4.4207 8.1274 1.0829
-0.8841 4.3763 3.2486
2.6524 5.6267 3.2486
7.9573 1.8756 1.0829
6.1890 5.0015 2.1657
0.8841 5.0015 6.4971
4.4207 2.5007 2.1657
-0.8841 2.5007 6.4971
0.8841 6.8770 1.0829
2.6524 1.8756 7.5800
-0.8841 0.6252 3.2486
-2.6524 5.6267 5.4143
6.1890 -0.6252 3.2486
0.8841 3.1259 1.0829
4.4207 4.3763 5.4143
2.6524 -1.8756 7.5800
-2.6524 7.5022 2.1657
6.1890 -2.5007 6.4971
3.5366 -2.5007 4.3314
-1.7683 -2.5007 4.3314
5.3049 0.0000 0.0000
-1.7683 5.0015 0.0000
0.0000 0.0000 0.0000
-3.5366 2.5007 4.3314
3.5366 5.0015 0.0000
1.7683 2.5007 4.3314
0.8533 -1.4529 7.5964
-2.6833 2.3037 6.1229
1.2712 1.3545 0.7251
3.0664 -1.3187 5.8670
-1.2981 -0.5799 4.5873
1.8823 -1.7373 3.5209
-3.6506 1.0836 8.4069
4.3899 -0.8507 3.6063
0.4971 8.6485 0.7251
3.4226 1.7373 3.5209
2.2385 1.3187 5.8670
4.4516 1.4529 7.5964
-2.6216 -2.3037 6.1229
-0.1140 -2.8209 5.3978
4.0336 1.3052 0.8105
-3.0395 5.0508 7.1273
5.7751 -0.7388 6.8713
-5.8019 4.9522 7.1273
5.4189 2.8209 5.3978
3.0395 -3.6470 7.9377
-0.4702 0.7388 6.8713
6.6029 0.5799 4.5873
-1.6543 -1.0836 8.4069
0.9150 0.8507 3.6063
2.6833 6.4544 1.0664
6.2199 2.6978 2.5399
2.2654 3.6470 7.9377
0.4702 6.3201 2.7958
4.8346 5.5813 4.0755
1.6543 6.7388 5.1419
7.1872 3.9179 0.2559
-0.8533 5.8522 5.0565
2.6216 4.1508 5.0565
5.1909 6.0851 0.2559
-3.0664 4.4216 4.0755
5.8019 -3.6963 7.8523
4.0068 4.2627 1.7915
-1.8823 2.1806 3.2650
9.3385 0.0493 1.5356
-2.2385 5.7403 1.7915
6.5761 -0.0493 1.5356
-0.4971 3.6963 7.8523
3.6506 7.8224 3.2650
6.1581 7.3052 2.5399
-0.9150 3.5485 1.0664
1.2981 3.6828 2.7958
0.1140 3.2642 5.1419
-2.2654 8.6978 0.8105

=====

(3)
La2TeRu (meta-GGA SCAN, PBEsol geometry); magnetization = 0.00 μB per atom; polymorph energy (0 for the lowest one) = 0.244 eV per atom; uncorrected energy = -40.135 eV/atom; formation energy (no corrections) = -2.25 eV per formula unit
1.0
4.3363 0.0000 0.0000
0.0000 4.3363 0.0000
-2.1682 -2.1682 5.2022
La Ru Te
2 1 1
Cartesian
0.0000 0.0000 0.0000
2.1682 0.0000 2.6011
2.1682 2.1682 0.0000
0.0000 2.1682 2.6011

=====

- Look up the uncorrected energy of the second one.
  -17.821 eV/atom

=====

- Among the records above, which one has the highest uncorrected energy?
  Dy3Ga5O12